This record from Alexandria describes crystalline ErCuBr at its relaxed geometry. The functional is PBE.

The structure in CIF format:
```
data_ErCuBr
_cell_length_a 6.615
_cell_length_b 3.819
_cell_length_c 12.604
_cell_angle_alpha 90.00
_cell_angle_beta 99.97
_cell_angle_gamma 90.00
_symmetry_space_group_name_H-M 'C 1 2/m 1'
_symmetry_Int_Tables_number 12
loop_
_symmetry_equiv_pos_as_xyz
'x,y,z'
'-x,-y,-z'
'-x,y,-z'
'x,-y,z'
'x+1/2,y+1/2,z'
'-x+1/2,-y+1/2,-z'
'-x+1/2,y+1/2,-z'
'x+1/2,-y+1/2,z'
loop_
_atom_site_label
_atom_site_fract_x
_atom_site_fract_y
_atom_site_fract_z
_atom_site_occupancy
Er1 0.104 0.000 0.310 1
Cu1 0.183 0.000 0.549 1
Br1 0.113 0.500 0.844 1
```

## Properties
total magnetic moment	0.000	μB/atom
raw formation energy	-810.2	meV/atom
DFT total energy	-4.254	eV/atom